{"formula": "Mg6BiPd2", "functional": "GGA-PBE", "state": "optimized geometry", "lattice": [[7.4081, 0.1806, -3.0600], [-4.3244, 6.5648, -1.5743], [0.0389, -0.1806, 8.0151]], "species": ["Bi", "Bi", "Mg", "Mg", "Mg", "Mg", "Mg", "Mg", "Mg", "Mg", "Mg", "Mg", "Mg", "Mg", "Pd", "Pd", "Pd", "Pd"], "frac_coords": [[0.0000, 0.0000, 0.0000], [0.0000, 0.5000, 0.5000], [0.6918, 0.6617, 0.3535], [0.8860, 0.1819, 0.7041], [0.7816, 0.5333, 0.7516], [0.2184, 0.9700, 0.7516], [0.5222, 0.8181, 0.7041], [0.3082, 0.3383, 0.6465], [0.7816, 0.0300, 0.2484], [0.6918, 0.3383, 0.0301], [0.2184, 0.4667, 0.2484], [0.3082, 0.6617, 0.9699], [0.4778, 0.1819, 0.2959], [0.1140, 0.8181, 0.2959], [0.5000, 0.8623, 0.3623], [0.5000, 0.1377, 0.6377], [0.3335, 0.3335, 0.0000], [0.6665, 0.6665, 0.0000]], "formation_enthalpy_0k_mev_per_atom": -362}



{"formula": "TaPb2", "functional": "GGA-PBE", "state": "optimized geometry", "lattice": [[-1.5792, -4.2135, -2.4785], [4.3570, -0.0322, -2.7213], [1.3527, -1.7935, 2.1871]], "species": ["Pb", "Pb", "Ta"], "frac_coords": [[0.0000, 0.5000, 0.5000], [0.5000, 0.0000, 0.5000], [0.0000, 0.0000, 0.0000]], "formation_enthalpy_0k_mev_per_atom": 542}



{"formula": "PrHoSe2", "functional": "GGA-PBE", "state": "optimized geometry", "lattice": [[-1.3950, 0.9530, -3.7432], [-1.7985, -2.8836, -2.3057], [-7.2590, 1.0272, 0.7042]], "species": ["Ho", "Pr", "Se", "Se"], "frac_coords": [[0.0000, 0.0000, 0.0000], [0.5000, 0.5000, 0.5000], [0.7435, 0.7435, 0.7699], [0.2565, 0.2565, 0.2301]], "polymorph_energy_mev_per_atom": 0, "raw_formation_energy_kj_per_mol_atoms": -172.93}



{"formula": "CsCu2TeSe", "functional": "GGA-PBE", "state": "optimized geometry", "lattice": [[-1.7223, -3.2964, -1.7713], [3.5577, -5.8960, 7.5136], [-5.7790, 0.7095, 4.2988]], "species": ["Cs", "Cs", "Cu", "Cu", "Cu", "Cu", "Te", "Te", "Se", "Se"], "frac_coords": [[0.7500, 0.2764, 0.8567], [0.2500, 0.7236, 0.1433], [0.7500, 0.9261, 0.5973], [0.2500, 0.0739, 0.4027], [0.7500, 0.2205, 0.3546], [0.2500, 0.7795, 0.6454], [0.7500, 0.6394, 0.6157], [0.2500, 0.3606, 0.3843], [0.2500, 0.9932, 0.7491], [0.7500, 0.0068, 0.2509]], "raw_formation_energy_kj_per_mol_atoms": -43.56}



{"formula": "Ta2AgP2", "functional": "GGA-PBE", "state": "optimized geometry", "lattice": [[7.1734, 0.0000, 0.0000], [0.0000, 7.1734, 0.0000], [0.0000, 0.0000, 3.2079]], "species": ["Ta", "Ta", "Ta", "Ta", "Ag", "Ag", "P", "P", "P", "P"], "frac_coords": [[0.6415, 0.1415, 0.0000], [0.1415, 0.3585, 0.0000], [0.3585, 0.8585, 0.0000], [0.8585, 0.6415, 0.0000], [0.5000, 0.5000, 0.0000], [0.0000, 0.0000, 0.0000], [0.1451, 0.6450, 0.5000], [0.3550, 0.1451, 0.5000], [0.8550, 0.3550, 0.5000], [0.6450, 0.8550, 0.5000]], "polymorph_energy_mev_per_atom": 51, "formation_enthalpy_0k_mev_per_atom": -286}



{"formula": "RbZrP2O", "functional": "GGA-PBE", "state": "optimized geometry", "lattice": [[5.3894, 0.0000, 0.0000], [0.0000, 5.3894, 0.0000], [0.0000, 0.0000, 4.1526]], "species": ["Zr", "P", "P", "O", "Rb"], "frac_coords": [[0.0000, 0.0000, 0.0000], [0.0000, 0.5000, 0.0000], [0.5000, 0.0000, 0.0000], [0.0000, 0.0000, 0.5000], [0.5000, 0.5000, 0.5000]], "polymorph_energy_mev_per_atom": 0, "raw_formation_energy_kj_per_mol_atoms": -67.53}



E, record by record: -3.010; -5.881; -5.874; -3.586; -7.761; -5.759 eV/atom